DFT (GGA-PBE) results for a relaxed PrY2In crystal.

Unit cell a=5.526 b=5.526 c=5.526 alpha=60.00 beta=60.00 gamma=60.00
Last column: magnetic moment on the atom in μB.
Sites, in units of the cell vectors:
Pr1 0.500 0.500 0.500  0.46
Y1 0.250 0.250 0.250  0.27
Y2 0.750 0.750 0.750  0.27
In1 0.000 0.000 0.000  0.00

As for the formation enthalpy at 0 K: -0.11 eV/atom. Its total energy is -20.904 eV per cell.